(1)
A plane-wave DFT calculation with PBE was carried out for a geometry-optimized Tl5SeBr2F structure.

Output
* energy relative to the elements, uncorrected: -7.917 eV/f.u.

a b c (Å): 9.787 9.787 13.993
angles (deg): 90.00 90.00 152.78
Fractional positions:
Tl  0.002  0.998  0.500
Tl  0.130  0.870  0.763
Tl  0.203  0.797  0.117
Tl  0.213  0.787  0.422
Tl  0.451  0.549  0.747
Tl  0.549  0.451  0.247
Tl  0.787  0.213  0.922
Tl  0.797  0.203  0.617
Tl  0.870  0.130  0.263
Tl  0.998  0.002  0.000
Se  0.289  0.711  0.771
Se  0.711  0.289  0.271
Br  0.384  0.616  0.443
Br  0.392  0.608  0.091
Br  0.608  0.392  0.591
Br  0.616  0.384  0.943
F  0.061  0.939  0.155
F  0.939  0.061  0.655

(2)
A plane-wave DFT calculation with PBE was carried out for a geometry-optimized ReNi2Pt structure.

Output
* energy above the lowest structure with this stoichiometry: 389 meV/atom
* formation energy from the elements: 306 meV/atom

a b c (Å): 4.642 4.642 4.642
angles (deg): 52.47 52.47 52.47
Fractional positions:
Re  0.000  0.000  0.000
Ni  0.212  0.212  0.212
Ni  0.407  0.407  0.407
Pt  0.788  0.788  0.788

(3)
A plane-wave DFT calculation with PBE was carried out for a geometry-optimized TiTlAu structure.

Output
* formation energy from the elements: -39 meV/atom

a b c (Å): 3.194 6.376 6.992
angles (deg): 65.31 90.00 75.51
Fractional positions:
Ti  0.033  0.433  0.204
Ti  0.967  0.567  0.796
Tl  0.351  0.800  0.405
Tl  0.649  0.200  0.595
Au  0.341  0.818  0.961
Au  0.659  0.182  0.039

(4)
A plane-wave DFT calculation with PBE was carried out for a geometry-optimized SmDyMgSc structure.

Output
* energy above the lowest structure with this stoichiometry: 0 meV/atom
* formation energy from the elements: 22 meV/atom

a b c (Å): 5.413 5.413 5.413
angles (deg): 60.00 60.00 60.00
Fractional positions:
Sm  0.000  0.000  0.000
Dy  0.500  0.500  0.500
Mg  0.750  0.750  0.750
Sc  0.250  0.250  0.250

(5)
A plane-wave DFT calculation with PBE was carried out for a geometry-optimized Tl8Hg6Au structure.

Output
* formation energy from the elements: 13 meV/atom

a b c (Å): 7.879 7.879 7.879
angles (deg): 74.45 74.45 74.45
Fractional positions:
Tl  0.144  0.414  0.640
Tl  0.249  0.249  0.249
Tl  0.360  0.856  0.586
Tl  0.414  0.640  0.144
Tl  0.586  0.360  0.856
Tl  0.640  0.144  0.414
Tl  0.751  0.751  0.751
Tl  0.856  0.586  0.360
Hg  0.064  0.899  0.328
Hg  0.101  0.672  0.936
Hg  0.328  0.064  0.899
Hg  0.672  0.936  0.101
Hg  0.899  0.328  0.064
Hg  0.936  0.101  0.672
Au  0.500  0.500  0.500

(6)
A plane-wave DFT calculation with PBE was carried out for a geometry-optimized Pr3PaSn12 structure.

Output
* formation energy from the elements: -451 meV/atom

a b c (Å): 4.763 4.763 18.913
angles (deg): 90.00 90.00 90.00
Fractional positions:
Pr  0.000  0.000  0.000
Pr  0.000  0.000  0.256
Pr  0.000  0.000  0.744
Pa  0.000  0.000  0.500
Sn  0.000  0.500  0.127
Sn  0.000  0.500  0.380
Sn  0.000  0.500  0.620
Sn  0.000  0.500  0.873
Sn  0.500  0.000  0.127
Sn  0.500  0.000  0.380
Sn  0.500  0.000  0.620
Sn  0.500  0.000  0.873
Sn  0.500  0.500  0.000
Sn  0.500  0.500  0.252
Sn  0.500  0.500  0.500
Sn  0.500  0.500  0.748

(7)
A plane-wave DFT calculation with PBE was carried out for a geometry-optimized LiSbI2 structure.

Output
* energy above the lowest structure with this stoichiometry: 0 meV/atom
* energy relative to the elements, uncorrected: -1.833 eV/f.u.

a b c (Å): 9.683 9.683 9.683
angles (deg): 23.91 23.91 23.91
Fractional positions:
Li  0.000  0.000  0.000
Sb  0.500  0.500  0.500
I  0.394  0.394  0.394
I  0.606  0.606  0.606

(8)
A plane-wave DFT calculation with PBE was carried out for a geometry-optimized LiPm2Al9 structure.

Output
* formation energy from the elements: -222 meV/atom

a b c (Å): 9.335 9.335 9.335
angles (deg): 35.37 35.37 35.37
Fractional positions:
Li  0.000  0.000  0.000
Pm  0.141  0.141  0.141
Pm  0.859  0.859  0.859
Al  0.075  0.588  0.588
Al  0.335  0.335  0.335
Al  0.412  0.412  0.925
Al  0.412  0.925  0.412
Al  0.500  0.500  0.500
Al  0.588  0.075  0.588
Al  0.588  0.588  0.075
Al  0.665  0.665  0.665
Al  0.925  0.412  0.412

(9)
A plane-wave DFT calculation with PBE was carried out for a geometry-optimized AcLaCdSn structure.

Output
* energy above the lowest structure with this stoichiometry: 0 meV/atom
* formation energy from the elements: -513 meV/atom

a b c (Å): 5.670 5.670 5.670
angles (deg): 60.00 60.00 60.00
Fractional positions:
Ac  0.000  0.000  0.000
La  0.500  0.500  0.500
Cd  0.750  0.750  0.750
Sn  0.250  0.250  0.250

(10)
A plane-wave DFT calculation with PBE was carried out for a geometry-optimized CeBPt6 structure.

Output
* formation energy from the elements: -562 meV/atom

a b c (Å): 6.166 6.166 6.166
angles (deg): 53.59 53.59 53.59
Fractional positions:
Ce  0.000  0.000  0.000
B  0.500  0.500  0.500
Pt  0.075  0.591  0.591
Pt  0.409  0.409  0.925
Pt  0.409  0.925  0.409
Pt  0.591  0.075  0.591
Pt  0.591  0.591  0.075
Pt  0.925  0.409  0.409

(11)
A plane-wave DFT calculation with PBE was carried out for a geometry-optimized BaPI2N structure.

Output
* energy above the lowest structure with this stoichiometry: 1278 meV/atom
* energy relative to the elements, uncorrected: 5.336 eV/f.u.

a b c (Å): 6.687 6.687 4.441
angles (deg): 90.00 90.00 90.00
Fractional positions:
Ba  0.000  0.000  0.000
P  0.500  0.500  0.500
I  0.000  0.500  0.000
I  0.500  0.000  0.000
N  0.000  0.000  0.500

(12)
A plane-wave DFT calculation with PBE was carried out for a geometry-optimized MgPaCoRu structure.

Output
* formation energy from the elements: -234 meV/atom

a b c (Å): 4.596 4.596 4.596
angles (deg): 60.00 60.00 60.00
Fractional positions:
Mg  0.000  0.000  0.000
Pa  0.500  0.500  0.500
Co  0.250  0.250  0.250
Ru  0.750  0.750  0.750

(13)
A plane-wave DFT calculation with PBE was carried out for a geometry-optimized Cs2LiIn2Cl6 structure.

Output
* energy relative to the elements, uncorrected: -15.310 eV/f.u.

a b c (Å): 7.729 7.729 8.867
angles (deg): 116.86 116.86 59.41
Fractional positions:
Cs  0.214  0.214  0.191
Cs  0.786  0.786  0.809
Li  0.000  0.000  0.500
In  0.456  0.456  0.809
In  0.544  0.544  0.191
Cl  0.177  0.718  0.247
Cl  0.231  0.231  0.593
Cl  0.282  0.823  0.753
Cl  0.718  0.177  0.247
Cl  0.769  0.769  0.407
Cl  0.823  0.282  0.753

(14)
A plane-wave DFT calculation with PBE was carried out for a geometry-optimized Sm6U3O17 structure.

Output
* energy relative to the elements, uncorrected: -88.297 eV/f.u.

a b c (Å): 6.905 6.905 11.262
angles (deg): 106.33 106.33 46.78
Fractional positions:
Sm  0.001  0.001  0.176
Sm  0.270  0.384  0.943
Sm  0.333  0.332  0.618
Sm  0.616  0.730  0.057
Sm  0.668  0.667  0.382
Sm  0.999  0.999  0.824
U  0.346  0.335  0.281
U  0.665  0.654  0.719
U  0.989  0.011  0.500
O  0.064  0.588  0.139
O  0.092  0.554  0.419
O  0.218  0.782  0.000
O  0.238  0.749  0.648
O  0.251  0.762  0.352
O  0.361  0.005  0.232
O  0.412  0.936  0.861
O  0.446  0.908  0.581
O  0.561  0.216  0.815
O  0.565  0.124  0.118
O  0.610  0.068  0.443
O  0.747  0.247  0.352
O  0.753  0.253  0.648
O  0.784  0.439  0.185
O  0.876  0.435  0.882
O  0.932  0.390  0.557
O  0.995  0.639  0.768

(15)
A plane-wave DFT calculation with PBE was carried out for a geometry-optimized Ti2Be2Co5Tc structure.

Output
* formation energy from the elements: -245 meV/atom

a b c (Å): 8.290 8.290 3.297
angles (deg): 90.00 90.00 90.00
Fractional positions:
Ti  0.177  0.323  0.000
Ti  0.323  0.823  0.000
Ti  0.677  0.177  0.000
Ti  0.823  0.677  0.000
Be  0.117  0.617  0.000
Be  0.383  0.117  0.000
Be  0.617  0.883  0.000
Be  0.883  0.383  0.000
Co  0.000  0.500  0.500
Co  0.070  0.788  0.500
Co  0.212  0.070  0.500
Co  0.288  0.570  0.500
Co  0.430  0.288  0.500
Co  0.500  0.000  0.500
Co  0.570  0.712  0.500
Co  0.712  0.430  0.500
Co  0.788  0.930  0.500
Co  0.930  0.212  0.500
Tc  0.000  0.000  0.000
Tc  0.500  0.500  0.000

(16)
A plane-wave DFT calculation with PBE was carried out for a geometry-optimized CaNbSiSb2 structure.

Output
* energy relative to the elements, uncorrected: 1.837 eV/f.u.

a b c (Å): 5.375 5.375 4.822
angles (deg): 90.00 90.00 90.00
Fractional positions:
Ca  0.000  0.000  0.000
Nb  0.500  0.500  0.000
Si  0.500  0.500  0.500
Sb  0.000  0.500  0.500
Sb  0.500  0.000  0.500

(17)
A plane-wave DFT calculation with PBE was carried out for a geometry-optimized HgPd5Au6 structure.

Output
* formation energy from the elements: -82 meV/atom

a b c (Å): 6.501 6.501 8.086
angles (deg): 90.07 90.07 143.09
Fractional positions:
Hg  0.000  0.000  0.000
Pd  0.000  0.000  0.500
Pd  0.333  0.667  0.500
Pd  0.334  0.666  0.000
Pd  0.666  0.334  0.000
Pd  0.667  0.333  0.500
Au  0.169  0.831  0.254
Au  0.169  0.831  0.746
Au  0.500  0.500  0.259
Au  0.500  0.500  0.741
Au  0.831  0.169  0.254
Au  0.831  0.169  0.746

(18)
A plane-wave DFT calculation with PBE was carried out for a geometry-optimized Ba3TeBr3 structure.

Output
* energy above the lowest structure with this stoichiometry: 35 meV/atom
* energy relative to the elements, uncorrected: -12.864 eV/f.u.

a b c (Å): 9.580 9.580 9.580
angles (deg): 119.47 119.14 91.21
Fractional positions:
Ba  0.000  0.246  0.246
Ba  0.000  0.754  0.754
Ba  0.495  0.245  0.250
Ba  0.500  0.246  0.746
Ba  0.500  0.754  0.254
Ba  0.505  0.755  0.750
Te  0.241  0.991  0.250
Te  0.759  0.009  0.750
Br  0.254  0.504  0.750
Br  0.269  0.000  0.769
Br  0.269  0.500  0.269
Br  0.731  0.000  0.231
Br  0.731  0.500  0.731
Br  0.746  0.496  0.250

(19)
A plane-wave DFT calculation with PBE was carried out for a geometry-optimized Be2SbAu2 structure.

Output
* energy above the lowest structure with this stoichiometry: 210 meV/atom
* energy relative to the elements, uncorrected: 0.816 eV/f.u.

a b c (Å): 7.359 7.359 2.992
angles (deg): 90.00 90.00 90.00
Fractional positions:
Be  0.127  0.373  0.000
Be  0.373  0.873  0.000
Be  0.627  0.127  0.000
Be  0.873  0.627  0.000
Sb  0.000  0.000  0.000
Sb  0.500  0.500  0.000
Au  0.148  0.648  0.500
Au  0.352  0.148  0.500
Au  0.648  0.852  0.500
Au  0.852  0.352  0.500

(20)
A plane-wave DFT calculation with PBE was carried out for a geometry-optimized LuGaTc structure.

Output
* energy above the lowest structure with this stoichiometry: 0 meV/atom
* formation energy from the elements: -313 meV/atom

a b c (Å): 5.281 5.281 5.281
angles (deg): 142.29 142.29 54.40
Fractional positions:
Lu  0.000  0.000  0.000
Ga  0.698  0.698  0.000
Tc  0.315  0.315  0.000